Entry 1:
# ZrPtS

Crystalline ZrPtS at its relaxed geometry (PBE, Alexandria).

Computed properties:
- crystal system = monoclinic
- ΔE_f (raw) (meV per atom) = -1145
- relative energy among the computed polymorphs (meV/atom) = 68

Lattice parameters (Å, degrees): 6.322 6.322 5.167 97.55 97.55 33.09
Element x y z (fractional)
Zr: 0.134 0.134 0.190
Zr: 0.866 0.866 0.810
Pt: 0.473 0.473 0.245
Pt: 0.527 0.527 0.755
S: 0.199 0.199 0.722
S: 0.801 0.801 0.278


Entry 2:
# Rb3AgBr

Crystalline Rb3AgBr at its relaxed geometry (PBE, Alexandria).

Computed properties:
- crystal system = cubic
- ΔE_f (raw) (meV per atom) = -517
- relative energy among the computed polymorphs (meV/atom) = 94

Lattice parameters (Å, degrees): 6.607 6.607 6.607 90.00 90.00 90.00
Element x y z (fractional)
Rb: 0.000 0.000 0.500
Rb: 0.000 0.500 0.000
Rb: 0.500 0.000 0.000
Ag: 0.500 0.500 0.500
Br: 0.000 0.000 0.000


Entry 3:
# Pm6Ge5Bi

Crystalline Pm6Ge5Bi at its relaxed geometry (PBE, Alexandria).

Computed properties:
- formation enthalpy at 0 K (kJ per mole of atoms) = -67
- crystal system = monoclinic

Lattice parameters (Å, degrees): 7.467 7.467 7.445 99.62 99.62 119.57
Element x y z (fractional)
Pm: 0.069 0.413 0.741
Pm: 0.239 0.239 0.253
Pm: 0.413 0.069 0.741
Pm: 0.587 0.931 0.259
Pm: 0.761 0.761 0.747
Pm: 0.931 0.587 0.259
Ge: 0.000 0.000 0.500
Ge: 0.168 0.832 0.000
Ge: 0.341 0.659 0.500
Ge: 0.659 0.341 0.500
Ge: 0.832 0.168 0.000
Bi: 0.500 0.500 0.000


Entry 4:
# Sc2IO6

Crystalline Sc2IO6 at its relaxed geometry (PBE, Alexandria).

Computed properties:
- crystal system = tetragonal
- ΔE_f (raw) (meV per atom) = -2038

Lattice parameters (Å, degrees): 4.831 4.831 9.662 90.00 90.00 90.00
Element x y z (fractional)
Sc: 0.000 0.000 0.166
Sc: 0.000 0.000 0.834
Sc: 0.500 0.500 0.334
Sc: 0.500 0.500 0.666
I: 0.000 0.000 0.500
I: 0.500 0.500 0.000
O: 0.190 0.190 0.341
O: 0.190 0.190 0.659
O: 0.204 0.204 0.000
O: 0.296 0.704 0.500
O: 0.310 0.690 0.159
O: 0.310 0.690 0.841
O: 0.690 0.310 0.159
O: 0.690 0.310 0.841
O: 0.704 0.296 0.500
O: 0.796 0.796 0.000
O: 0.810 0.810 0.341
O: 0.810 0.810 0.659


Entry 5:
# LaErAl2Pd5

Crystalline LaErAl2Pd5 at its relaxed geometry (PBE, Alexandria).

Computed properties:
- formation enthalpy at 0 K (kJ per mole of atoms) = -77
- crystal system = tetragonal

Lattice parameters (Å, degrees): 4.292 4.292 9.234 90.00 90.00 90.00
Element x y z (fractional)
La: 0.000 0.000 0.000
Er: 0.000 0.000 0.500
Al: 0.500 0.500 0.361
Al: 0.500 0.500 0.639
Pd: 0.000 0.500 0.232
Pd: 0.000 0.500 0.768
Pd: 0.500 0.000 0.232
Pd: 0.500 0.000 0.768
Pd: 0.500 0.500 0.000


Entry 6:
# LaScIn

Crystalline LaScIn at its relaxed geometry (PBE, Alexandria).

Computed properties:
- formation enthalpy at 0 K (kJ per mole of atoms) = 39
- crystal system = cubic
- relative energy among the computed polymorphs (meV/atom) = 755

Lattice parameters (Å, degrees): 5.220 5.220 5.220 60.00 60.00 60.00
Element x y z (fractional)
La: 0.000 0.000 0.000
Sc: 0.250 0.250 0.250
In: 0.750 0.750 0.750


| no. | electronic total energy (eV per atom) |
| --- | --- |
| 1 | -7.38 |
| 2 | -2.00 |
| 3 | -5.32 |
| 4 | -6.92 |
| 5 | -5.57 |
| 6 | -4.26 |